VASP calculation (PBE-GGA) on a relaxed Pm3Pb2Se crystal.

Output
- V: 371.1 Å³/cell
- M_tot: 0.00 μB per formula unit
- Offset from the most stable computed form: 0.00 eV per formula unit
- Density of states at the Fermi level: 0.563 states/eV/atom
- Uncorrected formation energy: -944.7 meV/atom

Cell lengths 4.327, 6.305, 13.600 Å; angles 90.00, 90.00, 90.00 degrees
Space group Immm (No. 71)
Asymmetric unit:
1 Pm 0.000 0.000 0.000 [2 per cell]
2 Pm 0.000 0.000 0.345 [4 per cell]
3 Pb 0.000 0.500 0.331 [4 per cell]
4 Se 0.000 0.500 0.000 [2 per cell]

VASP calculation (PBE-GGA) on a relaxed CaPmO4 crystal.

Output
- V: 177.8 Å³/cell
- M_tot: 1.01 μB per formula unit
- Density of states at the Fermi level: 0.441 states/eV/atom
- Uncorrected formation energy: -2348.6 meV/atom

Cell lengths 6.906, 3.879, 6.672 Å; angles 90.00, 95.69, 90.00 degrees
Space group Cm (No. 8)
Asymmetric unit:
1 Ca 0.000 0.000 0.000 [2 per cell]
2 Pm 0.132 0.500 0.583 [2 per cell]
3 O 0.164 0.500 0.923 [2 per cell]
4 O 0.230 0.000 0.335 [2 per cell]
5 O 0.400 0.000 0.246 [2 per cell]
6 O 0.464 0.500 0.632 [2 per cell]

VASP calculation (PBE-GGA) on a relaxed Ce2Ga4CuAu3 crystal.

Output
- DFT formation energy: -5.41 eV per formula unit
- V: 202.2 Å³/cell
- M_tot: 1.87 μB per formula unit
- Density of states at the Fermi level: 1.472 states/eV/atom

Cell lengths 4.373, 4.373, 10.574 Å; angles 90.00, 90.00, 90.00 degrees
Space group P-4m2 (No. 115)
Asymmetric unit:
1 Ce 0.000 0.500 0.243 [2 per cell]
2 Ga 0.000 0.000 0.500 [1 per cell]
3 Ga 0.000 0.500 0.874 [2 per cell]
4 Ga 0.500 0.500 0.500 [1 per cell]
5 Cu 0.500 0.500 0.000 [1 per cell]
6 Au 0.000 0.000 0.000 [1 per cell]
7 Au 0.000 0.500 0.637 [2 per cell]